LaNd2WO8: relaxed, PBE with a Hubbard U.

Properties
E = -7.867 eV per atom
DOS(E_F) = 0.495 states/eV/atom

Geometry as CIF:
```
data_LaNd2WO8
_space_group_name_H-M_alt 'C m m m'
_space_group_IT_number 65
_space_group_name_Hall '-C 2 2'
_cell_length_a 7.3138
_cell_length_b 7.3976
_cell_length_c 7.1870
_cell_angle_alpha 90.00
_cell_angle_beta 90.00
_cell_angle_gamma 90.00
loop_
_atom_site_label
_atom_site_type_symbol
_atom_site_fract_x
_atom_site_fract_y
_atom_site_fract_z
La1 La 0.0000 0.0000 0.0000
Nd1 Nd 0.0000 0.5000 0.2571
W1 W 0.0000 0.0000 0.5000
O1 O 0.0000 0.1794 0.2991
O2 O 0.1892 0.5000 0.0000
O3 O 0.2322 0.5000 0.5000
```